# Li2YCuO

Li2YCuO after structural relaxation (GGA-PBE, Alexandria via LeMat-Bulk).

Values from the calculation:
energy relative to the elements, uncorrected	-1.072	eV per atom
V	15.6	Å³ per atom
total DFT energy (no corrections)	-4.941	eV per atom
mass density	3.871	g/cm³

a b c (Å): 4.1465 4.1465 4.5486
angles (deg): 90.00 90.00 90.00
Last column: nearest neighbours and their distance in Å.
Element x y z (fractional)
Li  0.0000  0.5000  0.0000  2 O 2.07
Li  0.5000  0.0000  0.0000  2 O 2.07
Y  0.0000  0.0000  0.5000  2 O 2.27
Cu  0.5000  0.5000  0.5000  4 Y 2.93, 8 Li 3.08
O  0.0000  0.0000  0.0000  4 Li 2.07, 2 Y 2.27